1.
## NdHoTmTl (GGA-PBE)

Data for NdHoTmTl after structural relaxation.

Cell: 5.500 5.500 5.500 Å, 60.00 60.00 60.00°
Atoms (fractional coordinates):
Nd 0.000 0.000 0.000
Ho 0.500 0.500 0.500
Tm 0.750 0.750 0.750
Tl 0.250 0.250 0.250

As for the space-group type: F-43m (216). As for the density of states at the Fermi level: 5.67 states/eV/f.u. The formation energy comes out at -0.047 eV per atom. The energy relative to the lowest polymorph listed for this composition comes out at 49 kJ/mol of formula units. The magnetization is 1.102 μB per formula unit.

=====

2.
## ScP2Rh4 (GGA-PBE)

Data for ScP2Rh4 after structural relaxation.

Cell: 17.070 4.095 5.766 Å, 90.00 90.00 90.00°
Atoms (fractional coordinates):
Sc 0.130 0.250 0.044
Sc 0.370 0.750 0.544
Sc 0.630 0.250 0.456
Sc 0.870 0.750 0.956
P 0.042 0.750 0.259
P 0.203 0.250 0.621
P 0.297 0.750 0.121
P 0.458 0.250 0.759
P 0.542 0.750 0.241
P 0.703 0.250 0.879
P 0.797 0.750 0.379
P 0.958 0.250 0.741
Rh 0.033 0.750 0.856
Rh 0.074 0.250 0.522
Rh 0.177 0.750 0.351
Rh 0.210 0.750 0.822
Rh 0.290 0.250 0.322
Rh 0.323 0.250 0.851
Rh 0.426 0.750 0.022
Rh 0.467 0.250 0.356
Rh 0.533 0.750 0.644
Rh 0.574 0.250 0.978
Rh 0.677 0.750 0.149
Rh 0.710 0.750 0.678
Rh 0.790 0.250 0.178
Rh 0.823 0.250 0.649
Rh 0.926 0.750 0.478
Rh 0.967 0.250 0.144

As for the space-group type: Pnma (62). As for the density of states at the Fermi level: 2.20 states/eV/f.u. The formation energy comes out at -0.887 eV per atom. The magnetization is 0.000 μB per formula unit.